1.
VASP calculation (PBE-GGA) on crystalline Pm4Sm4Er at its relaxed geometry.

The calculation puts the total energy at -0.173 Ha/atom.

a b c (Å): 15.385 5.129 8.096
angles (deg): 90.00 108.55 90.00
Space group C2/m (No. 12)
One atom of each set of equivalent atoms:
Pm1 0.166 0.000 0.000
Pm2 0.222 0.500 0.333
Sm1 0.055 0.000 0.333
Sm2 0.111 0.500 0.668
Er1 0.000 0.500 0.000

---

2.
VASP calculation (PBE-GGA) on crystalline Pm4Sm3Er3 at its relaxed geometry.

The calculation puts the total energy at -0.169 Ha/atom.

a b c (Å): 3.808 13.289 13.244
angles (deg): 90.00 90.00 90.00
Space group Amm2 (No. 38)
One atom of each set of equivalent atoms:
Pm1 0.000 0.000 0.000
Pm2 0.000 0.000 0.257
Pm3 0.000 0.130 0.627
Sm1 0.000 0.247 0.379
Sm2 0.500 0.000 0.797
Er1 0.500 0.000 0.458
Er2 0.500 0.169 0.128

---

3.
VASP calculation (PBE-GGA) on crystalline Pm6Sm8Er at its relaxed geometry.

The calculation puts the total energy at -0.169 Ha/atom.

a b c (Å): 9.2203 9.2203 20.9485
angles (deg): 90.00 90.00 120.00
Space group R-3 (No. 148, hexagonal axes)
One atom of each set of equivalent atoms:
Pm1 0.0555 0.8082 0.2081
Sm1 0.0000 0.0000 0.0775
Sm2 0.0810 0.5254 0.3066
Er1 0.0000 0.0000 0.5000

---

4.
VASP calculation (PBE-GGA) on crystalline PmSm7Er12 at its relaxed geometry.

The calculation puts the total energy at -0.145 Ha/atom.

a b c (Å): 11.218 11.218 11.218
angles (deg): 90.00 90.00 90.00
Space group Im-3m (No. 229)
One atom of each set of equivalent atoms:
Pm1 0.000 0.000 0.000
Sm1 0.000 0.000 0.500
Sm2 0.250 0.250 0.250
Er1 0.000 0.250 0.250

---

5.
VASP calculation (PBE-GGA) on crystalline PmSm8Er2 at its relaxed geometry.

The calculation puts the total energy at -0.166 Ha/atom.

a b c (Å): 16.781 6.737 6.689
angles (deg): 90.00 99.86 90.00
Space group C2/m (No. 12)
One atom of each set of equivalent atoms:
Pm1 0.000 0.000 0.000
Sm1 0.089 0.262 0.409
Sm2 0.092 0.500 0.911
Sm3 0.244 0.000 0.315
Er1 0.202 0.000 0.804

---

6.
VASP calculation (PBE-GGA) on crystalline PmSmEr5 at its relaxed geometry.

The calculation puts the total energy at -0.133 Ha/atom.

a b c (Å): 7.981 11.606 6.154
angles (deg): 90.00 90.00 90.00
Space group Imm2 (No. 44)
One atom of each set of equivalent atoms:
Pm1 0.000 0.000 0.000
Sm1 0.000 0.500 0.259
Er1 0.000 0.256 0.990
Er2 0.000 0.500 0.732
Er3 0.180 0.000 0.496

---

| no. | calculated density (kg/m3) | total moment (Bohr magnetons per cell) | density of states at the Fermi level (states/eV/atom) |
| --- | --- | --- | --- |
| 1 | 7395 | 0.00 | 1.4016 |
| 2 | 7596 | 0.00 | 0.9691 |
| 3 | 7236 | 0.00 | 1.4354 |
| 4 | 7539 | 0.00 | 1.3481 |
| 5 | 7499 | 0.00 | 1.6260 |
| 6 | 6593 | 0.00 | 1.1975 |